The following is a GGA+U calculation of a relaxed AlFe2SnO6 crystal, from Alexandria via LeMat-Bulk.

a b c (Å): 5.4667 5.4667 5.4667
angles (deg): 56.19 56.19 56.19
Sites, in units of the cell vectors:
Al (0.0000, 0.0000, 0.0000)
Fe (0.3015, 0.3015, 0.3015)
Fe (0.7934, 0.7934, 0.7934)
Sn (0.5054, 0.5054, 0.5054)
O (0.0915, 0.3822, 0.7271)
O (0.1938, 0.8995, 0.6186)
O (0.3822, 0.7271, 0.0915)
O (0.6186, 0.1938, 0.8995)
O (0.7271, 0.0915, 0.3822)
O (0.8995, 0.6186, 0.1938)

V in A^3/atom: 10.534
Calculated total energy in eV for the cell shown: -65.61
Symmetry: R3, No. 146
Size of the total moment in μB per formula unit: 4.95